Entry 1:
# Ni3BS

A geometry-optimized Ni3BS structure (PBE-GGA, Alexandria via LeMat-Bulk).

Structure (extended XYZ):
```
5
Lattice="4.0989 0.0000 0.0000 0.0000 4.0989 0.0000 0.0000 0.0000 4.0989" Properties=species:S:1:pos:R:3 pbc="T T T"
Ni 0.0000 0.0000 2.0495
Ni 0.0000 2.0495 0.0000
Ni 2.0495 0.0000 0.0000
B 2.0495 2.0495 2.0495
S 0.0000 0.0000 0.0000
```

Properties
Its volume is 69 Å³ per cell. The formation energy without anion corrections comes out at 835 meV/atom. Its space-group type is No. 221.

***

Entry 2:
# LaMo2Au

A geometry-optimized LaMo2Au structure (PBE-GGA, Alexandria via LeMat-Bulk).

Structure (extended XYZ):
```
4
Lattice="5.1230 -1.6604 0.0000 5.1230 1.6604 0.0000 -1.2100 0.0000 5.2210" Properties=species:S:1:pos:R:3 pbc="T T T"
La 0.0000 0.0000 0.0000
Mo 1.5442 0.0000 3.3956
Mo 7.4918 0.0000 1.8254
Au 4.5180 0.0000 2.6105
```

Properties
As for the formation energy: 338 meV per atom. Its volume is 89 Å³ per cell. Its space-group type is No. 12.

***

Entry 3:
# SnPbC2

A geometry-optimized SnPbC2 structure (PBE-GGA, Alexandria via LeMat-Bulk).

Structure (extended XYZ):
```
4
Lattice="0.0000 3.1912 3.1912 3.1912 0.0000 3.1912 3.1912 3.1912 0.0000" Properties=species:S:1:pos:R:3 pbc="T T T"
Sn 0.0000 0.0000 0.0000
Pb 3.1912 3.1912 3.1912
C 1.5956 1.5956 1.5956
C 4.7868 4.7868 4.7868
```

Properties
As for the formation energy: 2210 meV per atom. Its volume is 65 Å³ per cell. Its space-group type is No. 225.

***

Number 1: energy above the lowest structure with this stoichiometry 674 meV/atom, theoretical density 5.280 g/cm3, raw total energy -4.80 eV per atom. Number 2: energy above the lowest structure with this stoichiometry 247 meV/atom, theoretical density 9.866 g/cm3, raw total energy -7.13 eV per atom. Number 3: energy above the lowest structure with this stoichiometry 1062 meV/atom, theoretical density 8.940 g/cm3, raw total energy -4.33 eV per atom.